--- P ---
ErThNiPt after structural relaxation. Source: the Alexandria database, functional PBE-GGA.

Cell lengths 4.2845, 5.7768, 5.7768 Å; angles 37.94, 90.00, 90.00 degrees
With the nearest neighbours (Å) after each atom.
Positions (direct):
1 Er 0.0000 0.0000 0.0000  3 Ni 2.91-3.17, 4 Pt 2.91
2 Th 0.5000 0.7234 0.7234  4 Ni 2.89, 3 Pt 3.05
3 Ni 0.0000 0.2665 0.2665  4 Th 2.89, 2 Pt 2.89, 3 Er 2.91-3.17
4 Pt 0.5000 0.4439 0.4439  2 Ni 2.89, 4 Er 2.91, 3 Th 3.05

total moment	0.000	μB per atom
space-group type	Amm2 (38)



--- Q ---
ErThNiPt after structural relaxation. Source: the Alexandria database, functional PBE-GGA.

Cell lengths 4.9644, 4.9644, 4.9644 Å; angles 60.00, 60.00, 60.00 degrees
With the nearest neighbours (Å) after each atom.
Positions (direct):
1 Er 0.0000 0.0000 0.0000  4 Ni 3.04, 4 Pt 3.04
2 Th 0.5000 0.5000 0.5000  4 Ni 3.04, 4 Pt 3.04
3 Ni 0.7500 0.7500 0.7500  4 Th 3.04, 4 Er 3.04
4 Pt 0.2500 0.2500 0.2500  4 Th 3.04, 4 Er 3.04

total moment	0.000	μB per atom
space-group type	F-43m (216)



Verdict on stability: Q comes out at the bottom.